## Zr2RhWSe (PBE)

Data for Zr2RhWSe after structural relaxation.

Cell and atoms, written as POSCAR:
```
Zr2RhWSe
1.0
-3.8450 -1.0069 3.0837
-0.2473 -4.1332 -1.6580
3.2319 -1.6003 3.5073
W Se Rh Zr
1 1 1 2
direct
0.5000 0.5000 0.5000 W
0.0000 0.5000 0.0000 Se
0.0000 0.0000 0.0000 Rh
0.5000 0.0000 0.0000 Zr
0.0000 0.0000 0.5000 Zr
```

Properties
Space group: P4/mmm, No. 123
Formation energy (no corrections): 0.883 eV/atom
Density: 8064 kg/m³
E: -7.2939 eV per atom
Volume: 22.58 Å³ per atom



## SmMgAlCu (PBE)

Data for SmMgAlCu after structural relaxation.

Cell and atoms, written as POSCAR:
```
SmMgAlCu
1.0
-0.2622 -4.6902 1.2818
3.9129 -2.2457 1.8318
0.1107 -1.2478 4.7054
Al Cu Mg Sm
1 1 1 1
direct
0.7500 0.7500 0.7500 Al
0.2500 0.2500 0.2500 Cu
0.5000 0.5000 0.5000 Mg
0.0000 0.0000 0.0000 Sm
```

Properties
Space group: F-43m, No. 216
DFT formation energy: -0.236 eV per atom
Density: 5394 kg/m³
E: -3.7742 eV per atom
Volume: 20.41 Å³ per atom



## Zn2Pt2I (PBE)

Data for Zn2Pt2I after structural relaxation.

Cell and atoms, written as POSCAR:
```
Zn2Pt2I
1.0
7.6033 0.0000 0.0000
0.0000 7.6033 0.0000
0.0000 0.0000 3.0775
Pt I Zn
4 2 4
direct
0.6532 0.1532 0.0000 Pt
0.1532 0.3468 0.0000 Pt
0.3468 0.8468 0.0000 Pt
0.8468 0.6532 0.0000 Pt
0.5000 0.5000 0.0000 I
0.0000 0.0000 0.0000 I
0.8604 0.3604 0.5000 Zn
0.3604 0.1396 0.5000 Zn
0.1396 0.6396 0.5000 Zn
0.6396 0.8604 0.5000 Zn
```

Properties
Space group: P4/mbm, No. 127
Formation energy (no corrections): -0.089 eV/atom
Excess energy over the best structure of this formula in the dataset: 0 meV per atom
Density: 12094 kg/m³
E: -3.3252 eV per atom
Volume: 17.79 Å³ per atom